HoAlCr2S6: relaxed, PBE-GGA.

Geometry as POSCAR:
```
HoAlCr2S6
1.0
3.127 1.805 5.614
-3.127 1.805 5.614
0.000 -3.611 5.614
Ho Al Cr S
1 1 2 6
Direct
0.000 0.000 0.000 Ho
0.492 0.492 0.492 Al
0.298 0.298 0.298 Cr
0.802 0.802 0.802 Cr
0.087 0.668 0.440 S
0.206 0.566 0.899 S
0.440 0.087 0.668 S
0.566 0.899 0.206 S
0.668 0.440 0.087 S
0.899 0.206 0.566 S
```

DFT total energy (eV/cell): -62.82
ΔE_f (raw) (kJ/mol of atoms): -101
Space-group type: R3, No. 146

***

HoScAlCr: relaxed, PBE-GGA.

Geometry as POSCAR:
```
HoScAlCr
1.0
0.000 3.486 3.486
3.486 0.000 3.486
3.486 3.486 0.000
Ho Sc Al Cr
1 1 1 1
Direct
0.000 0.000 0.000 Ho
0.500 0.500 0.500 Sc
0.750 0.750 0.750 Al
0.250 0.250 0.250 Cr
```

Calculated formation energy (meV/atom): -46
DFT total energy (eV/cell): -24.46
Space-group type: F-43m, No. 216

***

TbHoAlCr: relaxed, PBE-GGA.

Geometry as POSCAR:
```
TbHoAlCr
1.0
0.000 3.605 3.605
3.605 0.000 3.605
3.605 3.605 0.000
Tb Ho Al Cr
1 1 1 1
Direct
0.000 0.000 0.000 Tb
0.500 0.500 0.500 Ho
0.750 0.750 0.750 Al
0.250 0.250 0.250 Cr
```

Calculated formation energy (meV/atom): -21
DFT total energy (eV/cell): -22.66
Space-group type: F-43m, No. 216

***

AlCrI2: relaxed, PBE-GGA.

Geometry as POSCAR:
```
AlCrI2
1.0
0.000 3.526 3.526
3.526 0.000 3.526
3.526 3.526 0.000
Al Cr I
1 1 2
Direct
0.000 0.000 0.000 Al
0.500 0.500 0.500 Cr
0.250 0.250 0.250 I
0.750 0.750 0.750 I
```

DFT total energy (eV/cell): -12.68
ΔE_f (raw) (kJ/mol of atoms): 91
Space-group type: Fm-3m, No. 225